# 1
DFT (PBE-GGA) results for a relaxed structure of NiCN2.

Volume in A^3/atom: 9.7
Formation energy from raw total energies in kcal/mol of atoms: 7.434

Geometry as POSCAR:
```
NiCN2
1.0
3.115 0.000 0.000
-1.557 2.697 0.000
0.000 0.000 9.266
Ni C N
2 2 4
Cartesian
0.000 0.000 0.000 Ni
0.000 0.000 4.633 Ni
0.000 1.798 2.316 C
1.557 0.899 6.949 C
0.000 1.798 1.078 N
0.000 1.798 3.555 N
1.557 0.899 5.711 N
1.557 0.899 8.188 N
```

***

# 2
DFT (PBE-GGA) results for a relaxed structure of BeZnO2.

Volume in A^3/atom: 10.8
Formation energy from raw total energies in kcal/mol of atoms: -38.312

Geometry as POSCAR:
```
BeZnO2
1.0
1.569 0.906 5.059
-1.569 0.906 5.059
0.000 -1.811 5.059
Be Zn O
1 1 2
Cartesian
0.000 0.000 0.000 Be
0.000 0.000 7.588 Zn
0.000 0.000 1.429 O
0.000 0.000 13.748 O
```

***

# 3
DFT (PBE-GGA) results for a relaxed structure of BaReTcI2.

Volume in A^3/atom: 34.3
Formation energy from raw total energies in kcal/mol of atoms: 31.640

Geometry as POSCAR:
```
BaReTcI2
1.0
5.366 0.000 0.000
0.000 5.366 0.000
0.000 0.000 5.953
Ba Re Tc I
1 1 1 2
Cartesian
0.000 0.000 0.000 Ba
2.683 2.683 0.000 Re
0.000 0.000 2.976 Tc
0.000 2.683 2.976 I
2.683 0.000 2.976 I
```

***

# 4
DFT (PBE-GGA) results for a relaxed structure of Ho6BeSe4.

Volume in A^3/atom: 23.5
Formation energy from raw total energies in kcal/mol of atoms: -22.557

Geometry as POSCAR:
```
Ho6BeSe4
1.0
5.725 3.305 4.560
-5.725 3.305 4.560
0.000 -6.611 4.560
Ho Be Se
12 2 8
Cartesian
-5.026 -1.323 7.650 Ho
-1.368 -5.014 6.030 Ho
-1.368 -1.596 5.370 Ho
-3.659 3.691 6.030 Ho
-0.699 1.983 5.370 Ho
-2.066 0.386 8.310 Ho
2.066 -0.386 5.370 Ho
0.699 -1.983 8.310 Ho
3.659 -3.691 7.650 Ho
1.368 1.596 8.310 Ho
1.368 5.014 7.650 Ho
5.026 1.323 6.030 Ho
0.000 0.000 0.000 Be
0.000 0.000 6.840 Be
-3.569 0.428 5.700 Se
0.000 0.000 3.420 Se
-2.156 -2.877 7.980 Se
1.414 -3.305 5.700 Se
-1.414 3.305 7.980 Se
2.156 2.877 5.700 Se
0.000 0.000 10.260 Se
3.569 -0.428 7.980 Se
```